SrCaNb after structural relaxation, computed with PBE.

abc: 6.081 6.083 6.553
angles: 71.09 70.32 72.78
Fractional positions:
Sr 0.192 0.201 0.386
Sr 0.808 0.799 0.614
Nb 0.150 0.847 0.995
Nb 0.850 0.153 0.005
Ca 0.628 0.644 0.199
Ca 0.372 0.356 0.801

Properties
Its symmetry is No. 2. Its volume is 35.2 A^3/atom. Its energy above the most stable polymorph in this dataset is 0.104 eV/atom. The formation energy is 535 meV/atom. For the density of states at the Fermi level, the calculation gives 1.29 states/eV/atom. The total magnetic moment comes out at 0.00 μB/cell.